A relaxed PmCdCuSn crystal, computed with PBE-GGA.

```
data_PmCdCuSn
_cell_length_a 7.151
_cell_length_b 7.151
_cell_length_c 7.151
_cell_angle_alpha 90.00
_cell_angle_beta 90.00
_cell_angle_gamma 90.00
_space_group_name_H-M_alt 'F -4 3 m'
_space_group_IT_number 216
_space_group_name_Hall 'F -4 2 3'
loop_
_atom_site_label
_atom_site_type_symbol
_atom_site_fract_x
_atom_site_fract_y
_atom_site_fract_z
Pm1 Pm 0.000 0.000 0.000
Cd1 Cd 0.000 0.000 0.500
Cu1 Cu 0.250 0.250 0.250
Sn1 Sn 0.250 0.250 0.750
```

* D(E_F): 5.8 states/eV per cell
* magnetization: 0.00 Bohr magnetons per cell
* energy of formation from the pure elements: -221 meV/atom
* calculated density: 7.98 g/cm³

A relaxed Sc3CuRh4 crystal, computed with PBE-GGA.

```
data_Sc3CuRh4
_cell_length_a 4.4743
_cell_length_b 4.4743
_cell_length_c 21.9792
_cell_angle_alpha 90.00
_cell_angle_beta 90.00
_cell_angle_gamma 120.00
_space_group_name_H-M_alt 'R -3 m'
_space_group_IT_number 166
_space_group_name_Hall '-R 3 2"'
loop_
_atom_site_label
_atom_site_type_symbol
_atom_site_fract_x
_atom_site_fract_y
_atom_site_fract_z
Sc1 Sc 0.0000 0.0000 0.0000
Sc2 Sc 0.0000 0.0000 0.2429
Cu1 Cu 0.0000 0.0000 0.5000
Rh1 Rh 0.0000 0.0000 0.1229
Rh2 Rh 0.0000 0.0000 0.3756
```

* D(E_F): 10.9 states/eV per cell
* magnetization: 0.00 Bohr magnetons per cell
* energy of formation from the pure elements: -808 meV/atom
* calculated density: 7.98 g/cm³

A relaxed CrIrSeBr2 crystal, computed with PBE-GGA.

```
data_CrIrSeBr2
_cell_length_a 5.282
_cell_length_b 5.282
_cell_length_c 4.701
_cell_angle_alpha 90.00
_cell_angle_beta 90.00
_cell_angle_gamma 90.00
_space_group_name_H-M_alt 'P 4/m m m'
_space_group_IT_number 123
_space_group_name_Hall '-P 4 2'
loop_
_atom_site_label
_atom_site_type_symbol
_atom_site_fract_x
_atom_site_fract_y
_atom_site_fract_z
Cr1 Cr 0.000 0.000 0.000
Ir1 Ir 0.500 0.500 0.500
Se1 Se 0.500 0.500 0.000
Br1 Br 0.000 0.500 0.500
```

* D(E_F): 6.2 states/eV per cell
* formation energy without anion corrections: 0.537 eV/atom
* magnetization: 4.70 Bohr magnetons per cell
* calculated density: 6.11 g/cm³
* polymorph energy (0 for the lowest one): 0 meV per atom